# 1
VASP calculation (GGA-PBE) on a relaxed CaIn2As2 crystal.

Structure (POSCAR):
```
CaIn2As2
1.0
4.190 0.000 0.000
0.000 4.190 0.000
2.095 2.095 7.427
As Ca In
2 1 2
direct
0.417 0.417 0.167 As
0.583 0.583 0.833 As
0.000 0.000 0.000 Ca
0.750 0.250 0.500 In
0.250 0.750 0.500 In
```

Summary:
ΔH_f (0 K): -1.68 eV/f.u.
E_tot: -18.456 eV per formula unit
space group: I4/mmm, No. 139



# 2
VASP calculation (GGA-PBE) on a relaxed YBiCl2 crystal.

Structure (POSCAR):
```
YBiCl2
1.0
-9.782 -4.771 -2.929
-7.828 -7.716 -2.491
-9.410 -6.195 0.314
Y Bi Cl
1 1 2
direct
0.500 0.500 0.500 Y
0.000 0.000 0.000 Bi
0.886 0.886 0.886 Cl
0.114 0.114 0.114 Cl
```

Summary:
energy relative to the elements, uncorrected: -1231 meV per atom
E_tot: -18.961 eV per formula unit
space group: R-3m, No. 166
distance to the lowest polymorph of the same formula: 0 meV/atom



# 3
VASP calculation (GGA-PBE) on a relaxed HgSeSBr2 crystal.

Structure (POSCAR):
```
HgSeSBr2
1.0
-4.303 2.392 -2.570
-0.883 -4.672 -2.870
-3.295 -1.760 3.877
S Se Hg Br
1 1 1 2
direct
0.500 0.500 0.500 S
0.000 0.000 0.500 Se
0.000 0.000 0.000 Hg
0.000 0.500 0.000 Br
0.500 0.000 0.000 Br
```

Summary:
energy relative to the elements, uncorrected: 708 meV per atom
E_tot: -7.722 eV per formula unit
space group: P4/mmm, No. 123
distance to the lowest polymorph of the same formula: 386 meV/atom



# 4
VASP calculation (GGA-PBE) on a relaxed LuTiTcAg crystal.

Structure (POSCAR):
```
LuTiTcAg
1.0
-3.206 -3.281 -0.920
1.187 -3.812 -2.439
0.233 -4.160 2.128
Lu Tc Ag Ti
1 1 1 1
direct
0.750 0.750 0.750 Lu
0.000 0.000 0.000 Tc
0.500 0.500 0.500 Ag
0.250 0.250 0.250 Ti
```

Summary:
ΔH_f (0 K): -0.49 eV/f.u.
E_tot: -26.123 eV per formula unit
space group: F-43m, No. 216



# 5
VASP calculation (GGA-PBE) on a relaxed Cr2CuHPt crystal.

Structure (POSCAR):
```
Cr2CuHPt
1.0
3.699 0.000 0.000
0.000 3.699 0.000
0.000 0.000 3.943
Cr Cu Pt H
2 1 1 1
direct
0.000 0.500 0.000 Cr
0.500 0.000 0.000 Cr
0.000 0.000 0.500 Cu
0.500 0.500 0.500 Pt
0.000 0.000 0.000 H
```

Summary:
E_tot: -32.344 eV per formula unit
space group: P4/mmm, No. 123



# 6
VASP calculation (GGA-PBE) on a relaxed Mg2Os crystal.

Structure (POSCAR):
```
Mg2Os
1.0
-4.617 -0.967 1.306
-1.952 -4.156 -1.696
3.463 2.140 2.717
Mg Os
2 1
direct
0.338 0.338 0.000 Mg
0.662 0.662 0.000 Mg
0.000 0.000 0.000 Os
```

Summary:
ΔH_f (0 K): 0.46 eV/f.u.
E_tot: -13.957 eV per formula unit
space group: Immm, No. 71



# 7
VASP calculation (GGA-PBE) on a relaxed CePmHo2In4 crystal.

Structure (POSCAR):
```
CePmHo2In4
1.0
-2.009 -3.154 -3.858
2.450 -4.617 -1.243
-4.745 -6.798 4.288
Ce Pm Ho In
1 1 2 4
direct
0.500 0.500 0.500 Ce
0.000 0.000 0.000 Pm
0.750 0.750 0.750 Ho
0.250 0.250 0.250 Ho
0.375 0.375 0.876 In
0.875 0.875 0.374 In
0.125 0.125 0.626 In
0.625 0.625 0.124 In
```

Summary:
ΔH_f (0 K): -3.48 eV/f.u.
E_tot: -34.274 eV per formula unit
space group: R-3m, No. 166



# 8
VASP calculation (GGA-PBE) on a relaxed BaPa4Ru3O12 crystal.

Structure (POSCAR):
```
BaPa4Ru3O12
1.0
-3.889 -2.232 5.598
3.467 -5.580 -2.879
4.759 4.897 2.195
Ba Pa Ru O
1 4 3 12
direct
0.000 0.000 0.000 Ba
0.500 0.000 0.000 Pa
0.500 0.500 0.500 Pa
0.000 0.500 0.000 Pa
0.000 0.000 0.500 Pa
0.000 0.500 0.500 Ru
0.500 0.500 0.000 Ru
0.500 0.000 0.500 Ru
0.301 0.841 0.142 O
0.699 0.159 0.858 O
0.699 0.841 0.541 O
0.858 0.699 0.159 O
0.841 0.142 0.301 O
0.159 0.459 0.301 O
0.459 0.301 0.159 O
0.159 0.858 0.699 O
0.301 0.159 0.459 O
0.142 0.301 0.841 O
0.841 0.541 0.699 O
0.541 0.699 0.841 O
```

Summary:
energy relative to the elements, uncorrected: -2441 meV per atom
E_tot: -176.055 eV per formula unit
space group: Im-3, No. 204



Q: What is the formula in the fifth record?
A: Cr2CuHPt



Q: Which of these has the lowest E_tot?
A: BaPa4Ru3O12



Q: What is the formula in the first record?
A: CaIn2As2